# KCrN2F, relaxed, DFT PBE+U
# Energy (eV/cell): -20.2
data_KCrN2F
_symmetry_space_group_name_H-M 'P 4/m m m'
_symmetry_Int_Tables_number 123
_symmetry_space_group_name_Hall '-P 4 2'
_cell_length_a 5.0474
_cell_length_b 5.0474
_cell_length_c 4.6268
_cell_angle_alpha 90.00
_cell_angle_beta 90.00
_cell_angle_gamma 90.00
loop_
_atom_site_label
_atom_site_type_symbol
_atom_site_fract_x
_atom_site_fract_y
_atom_site_fract_z
_atom_site_occupancy
K1 K 0.0000 0.0000 0.0000 1
Cr1 Cr 0.5000 0.5000 0.5000 1
N1 N 0.0000 0.5000 0.0000 1
F1 F 0.0000 0.0000 0.5000 1